Record 1
Entry from Alexandria: a relaxed structure of TaTe2Ru (PBE).

The structure in POSCAR format:
```
TaTe2Ru
1.0
8.527 0.000 0.000
7.881 3.257 0.000
7.881 1.564 2.857
Ta Ru Te
1 1 2
direct
0.750 0.750 0.750
0.250 0.250 0.250
0.998 0.998 0.998
0.502 0.502 0.502
```

Computed properties:
For the total energy, the calculation gives -26.164 eV/cell. The value obtained for the energy relative to the elements, uncorrected is 312 meV/atom.

Record 2
Entry from Alexandria: a relaxed structure of TaTeRu3 (PBE).

The structure in POSCAR format:
```
TaTeRu3
1.0
-0.278 -1.977 -4.247
2.604 -3.602 1.507
-3.894 -2.267 1.311
Ru Te Ta
3 1 1
direct
0.500 0.000 0.000
0.000 0.000 0.500
0.000 0.500 0.000
0.000 0.000 0.000
0.500 0.500 0.500
```

Computed properties:
For the total energy, the calculation gives -34.539 eV/cell. The value obtained for the energy relative to the elements, uncorrected is 1657 meV/atom.

Record 3
Entry from Alexandria: a relaxed structure of Ta2TeRu (PBE).

The structure in POSCAR format:
```
Ta2TeRu
1.0
3.122 0.000 0.000
0.000 3.122 0.000
0.000 0.000 7.417
Ru Ta Te
1 2 1
direct
0.500 0.500 0.750
0.000 0.000 0.525
0.000 0.000 0.975
0.500 0.500 0.250
```

Computed properties:
For the total energy, the calculation gives -35.848 eV/cell. The value obtained for the energy relative to the elements, uncorrected is 69 meV/atom.